Sr4ZnSn8 PBE optimized geometry; space group = Pmm2; VASP energy = -45.318 eV per cell
1.0
-4.2746 -0.3957 -1.4602
1.5410 -0.7343 -4.3122
0.5816 -18.9656 3.4375
Sr Zn Sn
4 1 8
Cartesian
0.0566 -1.8445 0.3343 Sr
1.1235 -11.8796 -0.0695 Sr
-1.1362 -8.0850 -1.5232 Sr
-1.6187 -17.1110 2.3354 Sr
0.1898 -6.1890 1.1218 Zn
0.2702 -8.8125 1.5973 Sn
1.3201 -18.2889 1.0922 Sn
-1.3435 -1.3243 -2.7486 Sn
-1.8130 -10.7746 1.1870 Sn
0.9094 -4.8970 -1.3351 Sn
0.4333 -14.1315 2.5613 Sn
-1.9980 -4.7413 0.0934 Sn
-0.9287 -14.8511 -0.2968 Sn

=====

Mg2Bi2As PBE optimized geometry; space group = P4/mbm; excess energy over the best structure of this formula in the dataset = 0.115 eV/atom
1.0
8.1713 0.0000 0.0000
0.0000 8.1713 0.0000
0.0000 0.0000 4.0650
Mg As Bi
4 2 4
Cartesian
1.1231 5.2088 2.0325 Mg
5.2088 7.0481 2.0325 Mg
7.0481 2.9625 2.0325 Mg
2.9625 1.1231 2.0325 Mg
0.0000 0.0000 0.0000 As
4.0856 4.0856 0.0000 As
2.7067 6.7923 0.0000 Bi
6.7923 5.4646 0.0000 Bi
5.4646 1.3789 0.0000 Bi
1.3789 2.7067 0.0000 Bi

=====

BaBi4As2 PBE optimized geometry; space group = I4/mmm; VASP energy = -22.685 eV per cell
1.0
-4.8614 1.3033 3.7330
0.3516 -5.7503 2.4654
2.6075 0.3966 8.5168
As Bi Ba
2 4 1
Cartesian
-0.5181 -2.2961 10.6459 As
-1.3842 -1.7543 4.0693 As
-2.1751 -3.1890 8.7997 Bi
0.2728 -0.8615 5.9155 Bi
0.1758 -2.8751 1.2327 Bi
-2.4307 0.6516 1.8665 Bi
0.0000 0.0000 0.0000 Ba